Entry from Alexandria via LeMat-Bulk: an optimized crystal structure of CsZrAg2F8 (PBE-GGA).

Properties
Formation energy from raw total energies   -2.459 eV per atom

a = 5.5599 Å, b = 5.5599 Å, c = 8.5302 Å
α = 103.66°, β = 103.66°, γ = 77.52°
Positions (direct):
Cs  0.0000  0.0000  0.0000
Zr  0.0000  0.0000  0.5000
Ag  0.4510  0.4510  0.7802
Ag  0.5490  0.5490  0.2198
F  0.1781  0.7743  0.3208
F  0.2257  0.8219  0.6792
F  0.2466  0.2466  0.5482
F  0.3468  0.3468  0.9958
F  0.6532  0.6532  0.0042
F  0.7534  0.7534  0.4518
F  0.7743  0.1781  0.3208
F  0.8219  0.2257  0.6792